Arrangement A

Compound: ZrTc2Cl
Source: Alexandria
Functional: PBE
Structure: relaxed

Unit cell a=5.495 b=5.495 c=4.278 alpha=88.96 beta=88.96 gamma=32.52
Sites, in units of the cell vectors:
Cl 0.250 0.250 0.250
Tc 0.034 0.034 0.964
Tc 0.466 0.466 0.536
Zr 0.750 0.750 0.750

Results
- D(E_F): 3.35 states/eV/cell
- Space-group type: C2/m

Arrangement B

Compound: ZrTc2Cl
Source: Alexandria
Functional: PBE
Structure: relaxed

Unit cell a=3.159 b=3.159 c=6.743 alpha=90.00 beta=90.00 gamma=90.00
Sites, in units of the cell vectors:
Zr 0.500 0.500 0.250
Cl 0.500 0.500 0.750
Tc 0.000 0.000 0.503
Tc 0.000 0.000 0.997

Results
- D(E_F): 3.83 states/eV/cell
- Space-group type: P4/mmm

Which one sits at the bottom of the stability order? arrangement B does.

Arrangement A

Compound: Zr2TcCl
Source: Alexandria
Functional: PBE
Structure: relaxed

Unit cell a=4.738 b=4.738 c=4.738 alpha=60.00 beta=60.00 gamma=60.00
Each line ends with the local moment (μB).
Sites, in units of the cell vectors:
Cl 0.500 0.500 0.500  0.00
Tc 0.250 0.250 0.250  -0.05
Zr 0.000 0.000 0.000  0.13
Zr 0.750 0.750 0.750  0.36

Results
- D(E_F): 6.64 states/eV/cell
- Space-group type: F-43m

Arrangement B

Compound: Zr2TcCl
Source: Alexandria
Functional: PBE
Structure: relaxed

Unit cell a=5.591 b=5.591 c=7.678 alpha=68.65 beta=68.65 gamma=90.00
Sites, in units of the cell vectors:
Zr 0.100 0.625 0.250
Zr 0.650 0.125 0.250
Zr 0.375 0.350 0.750
Zr 0.875 0.900 0.750
Cl 0.500 0.500 0.000
Cl 0.250 0.750 0.500
Tc 0.000 0.000 0.000
Tc 0.750 0.250 0.500

Results
- D(E_F): 5.66 states/eV/cell
- Space-group type: I-42d

Which one sits at the bottom of the stability order? arrangement A does.

Arrangement A

Compound: Zr2TcCl
Source: Alexandria
Functional: PBE
Structure: relaxed

Unit cell a=5.526 b=5.526 c=4.488 alpha=97.64 beta=97.64 gamma=33.86
Sites, in units of the cell vectors:
Cl 0.522 0.522 0.422
Zr 0.269 0.269 0.330
Zr 0.983 0.983 0.905
Tc 0.726 0.726 0.843

Results
- D(E_F): 3.55 states/eV/cell
- Space-group type: Cm

Arrangement B

Compound: Zr2TcCl
Source: Alexandria
Functional: PBE
Structure: relaxed

Unit cell a=3.220 b=3.305 c=7.778 alpha=89.99 beta=90.00 gamma=90.00
Sites, in units of the cell vectors:
Zr 0.000 0.250 0.544
Zr 0.000 0.250 0.956
Cl 0.500 0.250 0.250
Tc 0.500 0.750 0.750

Results
- D(E_F): 2.21 states/eV/cell
- Space-group type: Pmmm

Arrangement C

Compound: Zr2TcCl
Source: Alexandria
Functional: PBE
Structure: relaxed

Unit cell a=7.892 b=7.892 c=7.892 alpha=155.44 beta=156.04 gamma=34.58
Sites, in units of the cell vectors:
Tc 0.198 0.698 0.500
Zr 0.065 0.065 0.000
Zr 0.789 0.289 0.500
Cl 0.448 0.448 0.000

Results
- D(E_F): 4.26 states/eV/cell
- Space-group type: Imm2

Arrangement D

Compound: Zr2TcCl
Source: Alexandria
Functional: PBE
Structure: relaxed

Unit cell a=5.853 b=5.853 c=5.853 alpha=142.28 beta=142.28 gamma=54.40
Sites, in units of the cell vectors:
Zr 0.000 0.000 0.000
Zr 0.250 0.750 0.500
Cl 0.500 0.500 0.000
Tc 0.750 0.250 0.500

Results
- D(E_F): 2.60 states/eV/cell
- Space-group type: I-4m2

Which one sits at the bottom of the stability order? arrangement D does.

Arrangement A

Compound: Zr2TcCl
Source: Alexandria
Functional: PBE
Structure: relaxed

Unit cell a=4.842 b=4.842 c=3.189 alpha=90.00 beta=90.00 gamma=96.29
Sites, in units of the cell vectors:
Cl 0.500 0.000 0.500
Zr 0.500 0.500 0.000
Zr 0.000 0.000 0.000
Tc 0.000 0.500 0.500

Results
- D(E_F): 3.97 states/eV/cell
- Space-group type: Cmmm

Arrangement B

Compound: Zr2TcCl
Source: Alexandria
Functional: PBE
Structure: relaxed

Unit cell a=3.213 b=3.213 c=7.768 alpha=90.00 beta=90.00 gamma=90.07
Sites, in units of the cell vectors:
Cl 0.500 0.500 0.250
Tc 0.500 0.500 0.750
Zr 0.000 0.000 0.541
Zr 0.000 0.000 0.959

Results
- D(E_F): 2.46 states/eV/cell
- Space-group type: P4/mmm

Which one sits at the bottom of the stability order? arrangement A does.

Arrangement A

Compound: Zr2TcCl
Source: Alexandria
Functional: PBE
Structure: relaxed

Unit cell a=3.111 b=3.111 c=9.766 alpha=90.00 beta=90.00 gamma=115.09
Sites, in units of the cell vectors:
Tc 0.500 0.500 0.791
Cl 0.000 0.000 0.462
Zr 0.000 0.000 0.989
Zr 0.500 0.500 0.258

Results
- D(E_F): 3.60 states/eV/cell
- Space-group type: Cmm2

Arrangement B

Compound: Zr2TcCl
Source: Alexandria
Functional: PBE
Structure: relaxed

Unit cell a=8.426 b=8.426 c=8.426 alpha=22.88 beta=22.88 gamma=22.88
Sites, in units of the cell vectors:
Tc 0.750 0.750 0.750
Zr 0.007 0.007 0.007
Zr 0.493 0.493 0.493
Cl 0.250 0.250 0.250

Results
- D(E_F): 2.83 states/eV/cell
- Space-group type: R-3m

Arrangement C

Compound: Zr2TcCl
Source: Alexandria
Functional: PBE
Structure: relaxed

Unit cell a=4.910 b=4.910 c=4.910 alpha=132.35 beta=112.39 gamma=86.87
Sites, in units of the cell vectors:
Tc 0.250 0.750 0.500
Zr 0.498 0.498 0.000
Zr 0.002 0.002 0.000
Cl 0.750 0.250 0.500

Results
- D(E_F): 2.74 states/eV/cell
- Space-group type: Immm

Arrangement D

Compound: Zr2TcCl
Source: Alexandria
Functional: PBE
Structure: relaxed

Unit cell a=5.046 b=3.057 c=5.092 alpha=78.04 beta=90.00 gamma=90.00
Sites, in units of the cell vectors:
Cl 0.000 0.621 0.403
Tc 0.500 0.701 0.860
Zr 0.000 0.960 0.873
Zr 0.500 0.218 0.364

Results
- D(E_F): 3.27 states/eV/cell
- Space-group type: Pm

Which one sits at the bottom of the stability order? arrangement C does.

Arrangement A

Compound: Zr2TcCl
Source: Alexandria
Functional: PBE
Structure: relaxed

Unit cell a=3.362 b=3.362 c=8.033 alpha=90.00 beta=90.00 gamma=90.00
Each line ends with the local moment (μB).
Sites, in units of the cell vectors:
Cl 0.000 0.000 0.429  0.00
Zr 0.500 0.500 0.235  0.01
Zr 0.000 0.000 0.993  -0.01
Tc 0.500 0.500 0.843  0.10

Results
- D(E_F): 4.54 states/eV/cell
- Space-group type: P4mm

Arrangement B

Compound: Zr2TcCl
Source: Alexandria
Functional: PBE
Structure: relaxed

Unit cell a=3.268 b=3.268 c=8.318 alpha=81.40 beta=81.40 gamma=86.72
Sites, in units of the cell vectors:
Zr 0.321 0.321 0.552
Zr 0.179 0.179 0.948
Tc 0.750 0.750 0.750
Cl 0.250 0.250 0.250

Results
- D(E_F): 2.57 states/eV/cell
- Space-group type: C2/m

Arrangement C

Compound: Zr2TcCl
Source: Alexandria
Functional: PBE
Structure: relaxed

Unit cell a=4.728 b=4.728 c=4.728 alpha=60.00 beta=60.00 gamma=60.00
Sites, in units of the cell vectors:
Zr 0.750 0.750 0.750
Zr 0.250 0.250 0.250
Cl 0.000 0.000 0.000
Tc 0.500 0.500 0.500

Results
- D(E_F): 3.56 states/eV/cell
- Space-group type: Fm-3m

Which one sits at the bottom of the stability order? arrangement C does.

Arrangement A

Compound: Zr3TcCl
Source: Alexandria
Functional: PBE
Structure: relaxed

Unit cell a=4.723 b=4.723 c=4.723 alpha=90.00 beta=90.00 gamma=90.00
Each line ends with the local moment (μB).
Sites, in units of the cell vectors:
Zr 0.000 0.500 0.000  -0.06
Zr 0.500 0.000 0.000  -0.10
Zr 0.000 0.000 0.500  -0.08
Cl 0.000 0.000 0.000  0.00
Tc 0.500 0.500 0.500  0.83

Results
- D(E_F): 4.28 states/eV/cell
- Space-group type: Pm-3m

Arrangement B

Compound: Zr3TcCl
Source: Alexandria
Functional: PBE
Structure: relaxed

Unit cell a=5.096 b=5.096 c=5.096 alpha=90.00 beta=90.00 gamma=90.00
Sites, in units of the cell vectors:
Zr 0.500 0.000 0.000
Zr 0.000 0.500 0.000
Zr 0.000 0.000 0.500
Cl 0.500 0.500 0.500
Tc 0.000 0.000 0.000

Results
- D(E_F): 2.66 states/eV/cell
- Space-group type: Pm-3m

Which one sits at the bottom of the stability order? arrangement B does.

Arrangement A

Compound: Zr2TcCl2
Source: Alexandria
Functional: PBE
Structure: relaxed

Unit cell a=7.847 b=7.847 c=3.012 alpha=90.00 beta=90.00 gamma=90.00
Sites, in units of the cell vectors:
Cl 0.622 0.878 0.500
Cl 0.878 0.378 0.500
Cl 0.122 0.622 0.500
Cl 0.378 0.122 0.500
Tc 0.500 0.500 0.000
Tc 0.000 0.000 0.000
Zr 0.185 0.315 0.000
Zr 0.815 0.685 0.000
Zr 0.315 0.815 0.000
Zr 0.685 0.185 0.000

Results
- D(E_F): 9.30 states/eV/cell
- Space-group type: P4/mbm

Arrangement B

Compound: Zr2TcCl2
Source: Alexandria
Functional: PBE
Structure: relaxed

Unit cell a=3.790 b=3.790 c=7.378 alpha=75.12 beta=75.12 gamma=90.00
Sites, in units of the cell vectors:
Zr 0.388 0.388 0.223
Zr 0.612 0.612 0.777
Cl 0.250 0.750 0.500
Cl 0.750 0.250 0.500
Tc 0.000 0.000 0.000

Results
- D(E_F): 2.99 states/eV/cell
- Space-group type: I4/mmm

Which one sits at the bottom of the stability order? arrangement A does.

Arrangement A

Compound: Te4Cl
Source: Alexandria
Functional: PBE
Structure: relaxed

Unit cell a=5.447 b=5.447 c=5.447 alpha=90.00 beta=90.00 gamma=90.00
Sites, in units of the cell vectors:
Te 0.000 0.500 0.500
Te 0.000 0.000 0.000
Te 0.500 0.500 0.000
Te 0.500 0.000 0.500
Cl 0.500 0.500 0.500

Results
- D(E_F): 8.67 states/eV/cell
- Space-group type: Pm-3m

Arrangement B

Compound: Te4Cl
Source: Alexandria
Functional: PBE
Structure: relaxed

Unit cell a=6.178 b=6.178 c=6.178 alpha=121.31 beta=121.31 gamma=87.74
Sites, in units of the cell vectors:
Te 0.328 0.328 0.000
Te 0.750 0.250 0.500
Te 0.672 0.672 0.000
Te 0.250 0.750 0.500
Cl 0.000 0.000 0.000

Results
- D(E_F): 3.20 states/eV/cell
- Space-group type: I4/mmm

Which one sits at the bottom of the stability order? arrangement A does.

Arrangement A

Compound: Te5Cl
Source: Alexandria
Functional: PBE
Structure: relaxed

Unit cell a=7.140 b=7.140 c=4.268 alpha=90.00 beta=90.00 gamma=120.00
Sites, in units of the cell vectors:
Te 0.333 0.667 0.500
Te 0.000 0.637 0.000
Te 0.363 0.363 0.000
Te 0.667 0.333 0.500
Te 0.637 0.000 0.000
Cl 0.000 0.000 0.500

Results
- D(E_F): 3.10 states/eV/cell
- Space-group type: P-62m

Arrangement B

Compound: Te5Cl
Source: Alexandria
Functional: PBE
Structure: relaxed

Unit cell a=7.062 b=7.062 c=8.834 alpha=110.38 beta=110.38 gamma=33.71
Sites, in units of the cell vectors:
Te 0.338 0.338 0.866
Te 0.942 0.942 0.439
Te 0.613 0.613 0.415
Te 0.273 0.273 0.376
Te 0.676 0.676 0.767
Cl 0.991 0.991 0.969

Results
- D(E_F): 1.74 states/eV/cell
- Space-group type: Cm

Which one sits at the bottom of the stability order? arrangement A does.